Record 1
! PBE LiLa2Te6Pb3, optimized geometry; values from VASP
&SYSTEM
  ibrav = 0, nat = 12, ntyp = 4
/
ATOMIC_SPECIES
La 138.91 La.upf
Li 6.94 Li.upf
Te 127.60 Te.upf
Pb 207.20 Pb.upf
CELL_PARAMETERS angstrom
-0.2136 0.8834 4.4797
-6.3846 -6.6628 1.0095
8.9405 -5.1028 -0.8995
ATOMIC_POSITIONS crystal
La 0.8360 0.6674 0.6721
La 0.1640 0.3326 0.3279
Li 0.5000 0.0000 0.0000
Te 0.6686 0.5851 0.3371
Te 0.3350 0.9147 0.6701
Te 0.6650 0.0853 0.3299
Te 0.0009 0.2395 0.0018
Te 0.9991 0.7605 0.9982
Te 0.3314 0.4149 0.6629
Pb 0.8372 0.1584 0.6745
Pb 0.5000 0.5000 0.0000
Pb 0.1628 0.8416 0.3255
! Space-group type: C2/m
! ΔE_f (raw): -10.35 eV/f.u.

Record 2
! PBE CaReIr2, optimized geometry; values from VASP
&SYSTEM
  ibrav = 0, nat = 4, ntyp = 3
/
ATOMIC_SPECIES
Ca 40.08 Ca.upf
Re 186.21 Re.upf
Ir 192.22 Ir.upf
CELL_PARAMETERS angstrom
-4.0213 -0.0325 -3.5508
-5.1040 -1.1287 -1.2063
-2.4406 4.0572 0.7699
ATOMIC_POSITIONS crystal
Ca 0.7370 0.7370 0.8040
Re 0.5302 0.5302 0.4358
Ir 0.9757 0.9757 0.9596
Ir 0.2572 0.2572 0.3006
! Space-group type: Cm
! Energy of formation: 0.09 eV per atom

Record 3
! PBE RbPmPb4, optimized geometry; values from VASP
&SYSTEM
  ibrav = 0, nat = 6, ntyp = 3
/
ATOMIC_SPECIES
Pm 145.00 Pm.upf
Pb 207.20 Pb.upf
Rb 85.47 Rb.upf
CELL_PARAMETERS angstrom
6.6087 0.0000 0.0000
3.3043 5.7233 0.0000
3.3043 1.9078 5.3960
ATOMIC_POSITIONS crystal
Pm 0.0000 0.0000 0.0000
Pb 0.6265 0.1206 0.6265
Pb 0.1206 0.6265 0.6265
Pb 0.6265 0.6265 0.6265
Pb 0.6265 0.6265 0.1206
Rb 0.2500 0.2500 0.2500
! Space-group type: F-43m
! Energy of formation: -0.14 eV per atom

Record 4
! PBE LiSiSe, optimized geometry; values from VASP
&SYSTEM
  ibrav = 0, nat = 12, ntyp = 3
/
ATOMIC_SPECIES
Li 6.94 Li.upf
Se 78.96 Se.upf
Si 28.09 Si.upf
CELL_PARAMETERS angstrom
5.8113 0.5930 0.0000
0.4940 5.8205 0.0000
-3.1527 -3.2067 7.0900
ATOMIC_POSITIONS crystal
Li 0.8864 0.3864 0.7727
Li 0.6136 0.1136 0.2273
Li 0.6364 0.6364 0.2727
Li 0.3636 0.3636 0.7273
Se 0.9434 0.4434 0.5000
Se 0.6934 0.6934 0.0000
Se 0.5566 0.0566 0.5000
Se 0.3066 0.3066 0.0000
Si 0.6250 0.8750 0.7500
Si 0.1250 0.8750 0.2500
Si 0.1250 0.3750 0.2500
Si 0.1250 0.8750 0.7500
! Space-group type: Fddd
! ΔE_f (raw): -0.40 eV/f.u.

Record 5
! PBE NaZn9Ga2, optimized geometry; values from VASP
&SYSTEM
  ibrav = 0, nat = 24, ntyp = 3
/
ATOMIC_SPECIES
Na 22.99 Na.upf
Zn 65.41 Zn.upf
Ga 69.72 Ga.upf
CELL_PARAMETERS angstrom
-1.0886 5.2178 -4.5079
-8.0652 1.8802 -1.2813
-0.2878 7.6173 3.4811
ATOMIC_POSITIONS crystal
Na 0.5000 0.0000 0.0000
Na 0.2500 0.5000 0.5000
Zn 0.6674 0.5827 0.1750
Zn 0.0826 0.3250 0.9173
Zn 0.0001 0.9173 0.6750
Zn 0.0826 0.9173 0.3250
Zn 0.0000 0.0000 0.0000
Zn 0.7499 0.5827 0.8250
Zn 0.5924 0.0827 0.3250
Zn 0.0001 0.6750 0.9173
Zn 0.4251 0.4173 0.8250
Zn 0.7499 0.8250 0.5827
Zn 0.1576 0.4173 0.1750
Zn 0.3249 0.0827 0.6750
Zn 0.4251 0.8250 0.4173
Zn 0.6674 0.1750 0.5827
Zn 0.7500 0.5000 0.5000
Zn 0.5924 0.3250 0.0827
Zn 0.3249 0.6750 0.0827
Zn 0.1576 0.1750 0.4173
Ga 0.8750 0.2500 0.7500
Ga 0.8750 0.7500 0.2500
Ga 0.3750 0.7500 0.7500
Ga 0.8750 0.2500 0.2500
! Space-group type: I4_1/amd
! Energy of formation: -0.02 eV per atom

Record 6
! PBE PaTi2F11, optimized geometry; values from VASP
&SYSTEM
  ibrav = 0, nat = 28, ntyp = 3
/
ATOMIC_SPECIES
F 19.00 F.upf
Ti 47.87 Ti.upf
Pa 231.04 Pa.upf
CELL_PARAMETERS angstrom
-3.4739 5.8942 -2.8082
-7.9838 0.6769 1.5587
-0.9828 6.4176 4.9475
ATOMIC_POSITIONS crystal
F 0.6315 0.7051 0.5616
F 0.8685 0.9384 0.7949
F 0.6018 0.2051 0.0616
F 0.3646 0.7237 0.2763
F 0.9569 0.8244 0.4567
F 0.8982 0.4384 0.2949
F 0.4569 0.9567 0.3244
F 0.7380 0.6756 0.0433
F 0.7620 0.4567 0.8244
F 0.5431 0.0433 0.6756
F 0.0431 0.1756 0.5433
F 0.3982 0.7949 0.9384
F 0.6354 0.2763 0.7237
F 0.1315 0.0616 0.2051
F 0.1354 0.2237 0.7763
F 0.8646 0.7763 0.2237
F 0.1018 0.5616 0.7051
F 0.2620 0.3244 0.9567
F 0.3685 0.2949 0.4384
F 0.5000 0.5000 0.5000
F 0.2380 0.5433 0.1756
F 0.0000 0.0000 0.0000
Ti 0.1314 0.8205 0.1795
Ti 0.8686 0.1795 0.8205
Ti 0.6314 0.6795 0.3205
Ti 0.3686 0.3205 0.6795
Pa 0.2500 0.2500 0.2500
Pa 0.7500 0.7500 0.7500
! Space-group type: Ibam
! ΔE_f (raw): -48.71 eV/f.u.

Record 7
! PBE DyTmMg, optimized geometry; values from VASP
&SYSTEM
  ibrav = 0, nat = 3, ntyp = 3
/
ATOMIC_SPECIES
Tm 168.93 Tm.upf
Mg 24.30 Mg.upf
Dy 162.50 Dy.upf
CELL_PARAMETERS angstrom
3.3502 0.0000 0.0000
0.0000 5.4072 0.0000
0.0000 -2.7036 4.6828
ATOMIC_POSITIONS crystal
Tm 0.0512 0.0000 0.0000
Mg 0.3240 0.3333 0.6667
Dy 0.6248 0.6667 0.3333
! Space-group type: P3m1
! Energy of formation: 0.05 eV per atom

Record 8
! PBE Na2MgSn, optimized geometry; values from VASP
&SYSTEM
  ibrav = 0, nat = 8, ntyp = 3
/
ATOMIC_SPECIES
Na 22.99 Na.upf
Sn 118.71 Sn.upf
Mg 24.30 Mg.upf
CELL_PARAMETERS angstrom
-2.2339 0.1254 -2.3240
-0.9718 -5.0428 0.6620
-7.6924 2.7666 9.7823
ATOMIC_POSITIONS crystal
Na 0.9721 0.7500 0.9441
Na 0.7798 0.2500 0.5596
Na 0.2202 0.7500 0.4404
Na 0.0279 0.2500 0.0559
Sn 0.5979 0.7500 0.1957
Sn 0.4021 0.2500 0.8043
Mg 0.1486 0.2500 0.2973
Mg 0.8514 0.7500 0.7027
! Space-group type: Cmcm
! Energy of formation: -0.03 eV per atom